Record 1
DFT (PBE) results for NaIn2GeRu after structural relaxation.

Output
The space group is No. 123. The value obtained for the energy of formation is -20 meV per atom.

Cell: 5.232 5.232 4.749 Å, 90.00 90.00 90.00°
Fractional positions:
In  0.000  0.500  0.000
Na  0.500  0.500  0.500
Ge  0.000  0.000  0.500
In  0.500  0.000  0.000
Ru  0.000  0.000  0.000

***

Record 2
DFT (PBE) results for In2TeCl after structural relaxation.

Output
The space group is No. 1. Its formation energy without anion corrections is -0.546 eV per atom.

Cell: 4.693 6.003 9.181 Å, 89.79 89.99 90.00°
Fractional positions:
Te  0.767  0.701  0.969
Cl  0.766  0.703  0.429
In  0.767  0.200  0.014
In  0.267  0.700  0.203
Te  0.267  0.199  0.248
In  0.767  0.203  0.509
In  0.267  0.701  0.705
Cl  0.266  0.202  0.785

***

Record 3
DFT (PBE) results for Li2Hf2Se after structural relaxation.

Output
The space group is No. 139. Its formation energy without anion corrections is 0.267 eV per atom.

Cell: 3.909 3.909 7.506 Å, 74.91 74.91 90.00°
Fractional positions:
Hf  0.250  0.750  0.500
Li  0.420  0.420  0.160
Li  0.580  0.580  0.840
Se  0.000  0.000  0.000
Hf  0.750  0.250  0.500

***

Record 4
DFT (PBE) results for HfTiCo2 after structural relaxation.

Output
The space group is No. 123. The value obtained for the energy of formation is -368 meV per atom.

Cell: 3.054 3.054 6.145 Å, 90.00 90.00 90.00°
Fractional positions:
Co  0.000  0.000  0.231
Hf  0.500  0.500  0.500
Ti  0.500  0.500  0.000
Co  0.000  0.000  0.769

***

Record 5
DFT (PBE) results for Ir3RuS after structural relaxation.

Output
The space group is No. 221. Its formation energy without anion corrections is 1.113 eV per atom.

Cell: 4.368 4.368 4.368 Å, 90.00 90.00 90.00°
Each line ends with the local moment (μB).
Fractional positions:
Ir  0.000  0.000  0.500  0.17
Ru  0.500  0.500  0.500  1.70
Ir  0.000  0.500  0.000  0.28
S  0.000  0.000  0.000  -0.01
Ir  0.500  0.000  0.000  0.37

***

Record 6
DFT (PBE) results for Tb2Si3Rh2 after structural relaxation.

Output
The space group is No. 12. Its formation energy without anion corrections is -0.846 eV per atom.

Cell: 4.167 5.450 6.508 Å, 113.37 90.00 112.48°
Fractional positions:
Si  0.500  0.000  0.000
Si  0.615  0.231  0.439
Rh  0.868  0.736  0.770
Tb  0.152  0.304  0.772
Si  0.385  0.769  0.561
Tb  0.848  0.696  0.228
Rh  0.132  0.264  0.230

***

Record 7
DFT (PBE) results for Tb7IrS5 after structural relaxation.

Output
The space group is No. 36. Its formation energy without anion corrections is -1.697 eV per atom.

Cell: 3.870 6.768 23.644 Å, 89.99 90.00 106.65°
Fractional positions:
Tb  0.192  0.385  0.321
Tb  0.462  0.924  0.249
S  0.993  0.985  0.498
Ir  0.807  0.614  0.256
Tb  0.098  0.196  0.886
S  0.557  0.113  0.142
Ir  0.194  0.387  0.756
S  0.443  0.887  0.642
Tb  0.918  0.835  0.108
Tb  0.355  0.710  0.537
S  0.270  0.541  0.429
Tb  0.808  0.617  0.821
S  0.730  0.461  0.929
S  0.547  0.094  0.359
Tb  0.633  0.267  0.465
Tb  0.646  0.291  0.037
S  0.454  0.907  0.859
Tb  0.367  0.735  0.965
S  0.719  0.438  0.571
S  0.008  0.016  0.998
Tb  0.539  0.077  0.749
Tb  0.202  0.405  0.179
Tb  0.903  0.805  0.386
Tb  0.798  0.596  0.679
S  0.282  0.563  0.071
Tb  0.083  0.166  0.608

***

Record 8
DFT (PBE) results for Dy3Er3Tm8 after structural relaxation.

Output
The space group is No. 71. The value obtained for the energy of formation is 120 meV per atom.

Cell: 5.524 9.475 9.475 Å, 101.40 73.05 73.05°
Fractional positions:
Dy  0.000  0.819  0.181
Tm  0.659  0.563  0.119
Er  0.795  0.205  0.205
Er  0.500  0.500  0.500
Tm  0.341  0.437  0.881
Dy  0.000  0.181  0.819
Dy  0.500  0.000  0.000
Tm  0.843  0.761  0.553
Tm  0.659  0.119  0.563
Tm  0.341  0.881  0.437
Tm  0.157  0.447  0.239
Tm  0.843  0.553  0.761
Tm  0.157  0.239  0.447
Er  0.205  0.795  0.795

***

Record 9
DFT (PBE) results for DyCd2Pd9 after structural relaxation.

Output
The space group is No. 123. The value obtained for the energy of formation is -443 meV per atom.

Cell: 4.058 4.058 12.225 Å, 90.00 90.00 90.00°
Fractional positions:
Pd  0.000  0.500  0.171
Pd  0.500  0.000  0.829
Pd  0.500  0.000  0.500
Pd  0.000  0.500  0.500
Cd  0.000  0.000  0.663
Dy  0.000  0.000  0.000
Cd  0.000  0.000  0.337
Pd  0.500  0.000  0.171
Pd  0.500  0.500  0.334
Pd  0.500  0.500  0.000
Pd  0.000  0.500  0.829
Pd  0.500  0.500  0.666

***

Record 10
DFT (PBE) results for Sc3TaPb after structural relaxation.

Output
The space group is No. 221. The value obtained for the energy of formation is 1141 meV per atom.

Cell: 5.308 5.308 5.308 Å, 90.00 90.00 90.00°
Each line ends with the local moment (μB).
Fractional positions:
Sc  0.000  0.000  0.500  0.25
Pb  0.000  0.000  0.000  0.04
Ta  0.500  0.500  0.500  1.57
Sc  0.000  0.500  0.000  0.22
Sc  0.500  0.000  0.000  0.20

***

Record 11
DFT (PBE) results for Cs2KIn after structural relaxation.

Output
The space group is No. 122. The value obtained for the energy of formation is 140 meV per atom.

Cell: 9.403 9.403 9.403 Å, 100.23 100.23 130.15°
Fractional positions:
Cs  0.948  0.875  0.573
In  0.000  0.000  0.000
Cs  0.125  0.698  0.073
In  0.250  0.750  0.500
K  0.500  0.500  0.000
K  0.750  0.250  0.500
Cs  0.302  0.375  0.427
Cs  0.625  0.052  0.927

***

Record 12
DFT (PBE) results for Ba2YBeTl after structural relaxation.

Output
The space group is No. 123. The value obtained for the energy of formation is 993 meV per atom.

Cell: 6.633 5.688 6.633 Å, 90.00 90.00 90.00°
Each line ends with the local moment (μB).
Fractional positions:
Ba  0.500  0.000  0.000  0.02
Tl  0.000  0.500  0.000  0.03
Ba  0.000  0.000  0.500  0.06
Y  0.000  0.000  0.000  0.20
Be  0.500  0.500  0.500  0.00

***

Record 13
DFT (PBE) results for Pd3Pt4Rh4 after structural relaxation.

Output
The space group is No. 71. The value obtained for the energy of formation is 267 meV per atom.

Cell: 4.475 5.331 8.206 Å, 108.95 105.82 90.00°
Fractional positions:
Pd  0.097  0.097  0.193
Pt  0.500  0.240  0.000
Pt  0.827  0.327  0.655
Rh  0.323  0.571  0.645
Pd  0.903  0.903  0.807
Rh  0.677  0.429  0.355
Pd  0.000  0.500  0.000
Pt  0.500  0.760  0.000
Rh  0.323  0.074  0.645
Pt  0.173  0.673  0.345
Rh  0.677  0.926  0.355

***

Record 14
DFT (PBE) results for Nd3TeH after structural relaxation.

Output
The energy is -4.81 eV per atom. The space group is No. 11.

Cell: 3.984 7.753 8.713 Å, 95.48 90.00 90.00°
Fractional positions:
H  0.750  0.151  0.632
Nd  0.750  0.633  0.389
Te  0.750  0.638  0.779
H  0.250  0.849  0.368
Nd  0.750  0.269  0.941
Nd  0.250  0.367  0.611
Nd  0.250  0.934  0.665
Te  0.250  0.362  0.221
Nd  0.750  0.066  0.335
Nd  0.250  0.731  0.059

***

Record 15
DFT (PBE) results for LiTbAgPt after structural relaxation.

Output
The space group is No. 216. The value obtained for the energy of formation is -584 meV per atom.

Cell: 4.803 4.803 4.803 Å, 60.00 60.00 60.00°
Fractional positions:
Tb  0.000  0.000  0.000
Li  0.500  0.500  0.500
Ag  0.250  0.250  0.250
Pt  0.750  0.750  0.750

***

Record 16
DFT (PBE) results for Mg2AgMo after structural relaxation.

Output
The space group is No. 123. The value obtained for the energy of formation is 302 meV per atom.

Cell: 4.253 4.250 3.926 Å, 90.00 90.00 90.00°
Each line ends with the local moment (μB).
Fractional positions:
Mg  0.500  0.500  0.000  0.00
Ag  0.000  0.500  0.500  0.01
Mg  0.000  0.000  0.000  0.00
Mo  0.500  0.000  0.500  0.62

***

Record 17
DFT (PBE) results for Ca2CoI2 after structural relaxation.

Output
The space group is No. 139. Its formation energy without anion corrections is -0.072 eV per atom.

Cell: 5.198 5.198 8.187 Å, 71.49 71.49 90.00°
Each line ends with the local moment (μB).
Fractional positions:
I  0.750  0.250  0.500  0.00
I  0.250  0.750  0.500  0.00
Ca  0.624  0.624  0.751  -0.01
Co  0.000  0.000  0.000  2.08
Ca  0.376  0.376  0.249  -0.01

***

Record 18
DFT (PBE) results for MgTi2Rh3 after structural relaxation.

Output
The space group is No. 123. The value obtained for the energy of formation is -782 meV per atom.

Cell: 3.134 3.134 9.243 Å, 90.00 90.00 90.00°
Fractional positions:
Rh  0.000  0.000  0.682
Ti  0.500  0.500  0.170
Mg  0.500  0.500  0.500
Ti  0.500  0.500  0.830
Rh  0.000  0.000  0.000
Rh  0.000  0.000  0.318

***

Record 19
DFT (PBE) results for Pm2Si2Ru after structural relaxation.

Output
The space group is No. 12. Its formation energy without anion corrections is -0.782 eV per atom.

Cell: 4.270 5.926 9.228 Å, 87.10 76.62 68.89°
Fractional positions:
Pm  0.671  0.337  0.322
Pm  0.080  0.732  0.107
Si  0.378  0.119  0.125
Pm  0.920  0.268  0.893
Ru  0.348  0.925  0.378
Si  0.909  0.747  0.435
Si  0.091  0.253  0.565
Pm  0.329  0.663  0.678
Si  0.622  0.881  0.875
Ru  0.652  0.075  0.622

***

The total magnetic moment results, record by record, are as follows: 0.0; 0.0; 0.0; 0.0; 2.6; 0.0; 0.0; 0.0; 0.0; 3.8; 0.0; 0.5; 0.0; 0.0; 0.0; 0.7; 2.1; 0.0; 0.0 μB per cell.